# 1
{"formula": "Li2FeP2O7", "functional": "PBEsol", "state": "relaxed", "dos_at_fermi_per_ev_fu": 6.477, "energy_ev_per_atom": -7.105, "formation_energy_uncorrected_kcal_per_mol_atoms": -46.18, "spacegroup": "No. 113", "relative_energy_ev_per_fu": 0.856, "total_magnetization_mub_per_fu": 4.0, "lattice": [[4.950, 0.000, 0.000], [0.000, 7.620, 0.030], [0.000, -0.031, 7.620]], "species": ["O", "O", "O", "O", "O", "O", "O", "O", "O", "O", "O", "O", "O", "O", "Li", "Li", "Li", "Li", "P", "P", "P", "P", "Fe", "Fe"], "frac_coords": [[0.751, 0.312, 0.919], [0.802, 0.345, 0.345], [0.751, 0.081, 0.688], [0.249, 0.188, 0.419], [0.802, 0.655, 0.655], [0.800, 0.000, 0.000], [0.200, 0.500, 0.500], [0.249, 0.812, 0.581], [0.751, 0.688, 0.081], [0.198, 0.845, 0.155], [0.249, 0.581, 0.812], [0.198, 0.155, 0.845], [0.751, 0.919, 0.312], [0.249, 0.419, 0.188], [0.542, 0.784, 0.784], [0.458, 0.716, 0.284], [0.542, 0.216, 0.216], [0.458, 0.284, 0.716], [0.896, 0.857, 0.143], [0.104, 0.357, 0.357], [0.104, 0.643, 0.643], [0.896, 0.143, 0.857], [0.000, 0.000, 0.500], [0.000, 0.500, 0.000]]}


# 2
{"formula": "Li2FeP2O7", "functional": "PBEsol", "state": "relaxed", "dos_at_fermi_per_ev_fu": 1.046, "energy_ev_per_atom": -7.143, "formation_energy_uncorrected_kcal_per_mol_atoms": -47.06, "spacegroup": "No. 12", "relative_energy_ev_per_fu": 0.394, "total_magnetization_mub_per_fu": 4.0, "lattice": [[5.457, 0.013, 0.021], [-0.021, 7.460, -0.019], [-0.021, -3.246, 6.717]], "species": ["O", "O", "O", "O", "O", "O", "O", "O", "O", "O", "O", "O", "O", "O", "Li", "Li", "Li", "Li", "P", "P", "P", "P", "Fe", "Fe"], "frac_coords": [[0.017, 0.802, 0.582], [0.518, 0.419, 0.199], [0.750, 0.869, 0.262], [0.482, 0.801, 0.581], [0.518, 0.199, 0.419], [0.250, 0.738, 0.131], [0.750, 0.095, 0.095], [0.983, 0.418, 0.198], [0.250, 0.905, 0.905], [0.250, 0.131, 0.738], [0.017, 0.582, 0.802], [0.750, 0.262, 0.869], [0.983, 0.198, 0.418], [0.482, 0.581, 0.801], [0.000, 0.711, 0.289], [0.500, 0.711, 0.289], [0.000, 0.289, 0.711], [0.500, 0.289, 0.711], [0.250, 0.915, 0.692], [0.750, 0.308, 0.085], [0.250, 0.692, 0.915], [0.750, 0.085, 0.308], [0.250, 0.308, 0.308], [0.750, 0.692, 0.692]]}


# 3
{"formula": "Li2FeP4O12", "functional": "PBEsol", "state": "relaxed", "dos_at_fermi_per_ev_fu": 4.114, "energy_ev_per_atom": -7.304, "formation_energy_uncorrected_kcal_per_mol_atoms": -48.22, "spacegroup": "No. 62", "relative_energy_ev_per_fu": 0.000, "total_magnetization_mub_per_fu": 4.0, "lattice": [[-1.178, -5.209, 7.606], [7.738, 3.687, 3.723], [-5.475, 7.299, 4.150]], "species": ["Fe", "Fe", "Fe", "Fe", "O", "O", "O", "O", "O", "O", "O", "O", "O", "O", "O", "O", "O", "O", "O", "O", "O", "O", "O", "O", "O", "O", "O", "O", "O", "O", "O", "O", "O", "O", "O", "O", "O", "O", "O", "O", "O", "O", "O", "O", "O", "O", "O", "O", "O", "O", "O", "O", "P", "P", "P", "P", "P", "P", "P", "P", "P", "P", "P", "P", "P", "P", "P", "P", "Li", "Li", "Li", "Li", "Li", "Li", "Li", "Li"], "frac_coords": [[0.250, 0.011, 0.199], [0.250, 0.511, 0.301], [0.750, 0.489, 0.699], [0.750, 0.989, 0.801], [0.376, 0.176, 0.576], [0.750, 0.864, 0.643], [0.884, 0.648, 0.018], [0.116, 0.352, 0.982], [0.876, 0.824, 0.424], [0.750, 0.113, 0.966], [0.750, 0.613, 0.534], [0.930, 0.116, 0.729], [0.939, 0.870, 0.877], [0.884, 0.148, 0.482], [0.561, 0.870, 0.877], [0.439, 0.630, 0.377], [0.384, 0.852, 0.518], [0.561, 0.370, 0.623], [0.124, 0.176, 0.576], [0.250, 0.636, 0.143], [0.116, 0.852, 0.518], [0.061, 0.630, 0.377], [0.250, 0.146, 0.872], [0.750, 0.599, 0.227], [0.616, 0.648, 0.018], [0.624, 0.324, 0.076], [0.624, 0.824, 0.424], [0.876, 0.324, 0.076], [0.376, 0.676, 0.924], [0.430, 0.884, 0.271], [0.750, 0.099, 0.273], [0.570, 0.116, 0.729], [0.750, 0.354, 0.372], [0.250, 0.901, 0.727], [0.384, 0.352, 0.982], [0.616, 0.148, 0.482], [0.250, 0.136, 0.357], [0.750, 0.854, 0.128], [0.939, 0.370, 0.623], [0.750, 0.364, 0.857], [0.250, 0.646, 0.628], [0.250, 0.887, 0.034], [0.070, 0.884, 0.271], [0.439, 0.130, 0.123], [0.430, 0.384, 0.229], [0.930, 0.616, 0.771], [0.250, 0.401, 0.773], [0.070, 0.384, 0.229], [0.061, 0.130, 0.123], [0.570, 0.616, 0.771], [0.250, 0.387, 0.466], [0.124, 0.676, 0.924], [0.462, 0.789, 0.388], [0.750, 0.273, 0.979], [0.962, 0.211, 0.612], [0.250, 0.304, 0.891], [0.962, 0.711, 0.888], [0.750, 0.196, 0.391], [0.038, 0.789, 0.388], [0.038, 0.289, 0.112], [0.538, 0.711, 0.888], [0.250, 0.227, 0.479], [0.750, 0.773, 0.521], [0.250, 0.804, 0.609], [0.538, 0.211, 0.612], [0.250, 0.727, 0.021], [0.750, 0.696, 0.109], [0.462, 0.289, 0.112], [0.403, 0.008, 0.823], [0.903, 0.492, 0.323], [0.597, 0.992, 0.177], [0.097, 0.008, 0.823], [0.403, 0.508, 0.677], [0.597, 0.492, 0.323], [0.903, 0.992, 0.177], [0.097, 0.508, 0.677]]}


# 4
{"formula": "LiFeP2O7", "functional": "PBEsol", "state": "relaxed", "energy_ev_per_atom": -7.407, "formation_energy_uncorrected_kcal_per_mol_atoms": -46.58, "spacegroup": "No. 11", "relative_energy_ev_per_fu": 0.192, "total_magnetization_mub_per_fu": 5.0, "lattice": [[6.626, 0.000, 0.020], [0.000, 8.282, 0.000], [-2.124, 0.000, 8.818]], "species": ["Fe", "Fe", "Fe", "Fe", "O", "O", "O", "O", "O", "O", "O", "O", "O", "O", "O", "O", "O", "O", "O", "O", "O", "O", "O", "O", "O", "O", "O", "O", "O", "O", "O", "O", "Li", "Li", "Li", "Li", "P", "P", "P", "P", "P", "P", "P", "P"], "frac_coords": [[0.247, 0.057, 0.751], [0.753, 0.557, 0.249], [0.247, 0.443, 0.751], [0.753, 0.943, 0.249], [0.916, 0.401, 0.380], [0.483, 0.405, 0.649], [0.571, 0.401, 0.125], [0.916, 0.099, 0.380], [0.611, 0.750, 0.109], [0.517, 0.595, 0.351], [0.974, 0.904, 0.140], [0.974, 0.596, 0.140], [0.084, 0.599, 0.620], [0.571, 0.099, 0.125], [0.388, 0.250, 0.396], [0.859, 0.750, 0.888], [0.612, 0.750, 0.604], [0.084, 0.901, 0.620], [0.141, 0.250, 0.112], [0.768, 0.250, 0.958], [0.389, 0.250, 0.891], [0.517, 0.905, 0.351], [0.429, 0.599, 0.875], [0.026, 0.404, 0.860], [0.026, 0.096, 0.860], [0.122, 0.250, 0.607], [0.878, 0.750, 0.393], [0.483, 0.095, 0.649], [0.751, 0.250, 0.566], [0.429, 0.901, 0.875], [0.249, 0.750, 0.434], [0.232, 0.750, 0.042], [0.704, 0.919, 0.753], [0.296, 0.081, 0.247], [0.296, 0.419, 0.247], [0.704, 0.581, 0.753], [0.927, 0.250, 0.476], [0.427, 0.750, 0.970], [0.010, 0.250, 0.952], [0.990, 0.750, 0.048], [0.506, 0.250, 0.559], [0.573, 0.250, 0.030], [0.494, 0.750, 0.441], [0.073, 0.750, 0.524]]}


# 5
{"formula": "LiFe4P4O16", "functional": "PBEsol", "state": "relaxed", "dos_at_fermi_per_ev_fu": 8.016, "energy_ev_per_atom": -7.643, "formation_energy_uncorrected_kcal_per_mol_atoms": -42.51, "spacegroup": "No. 2", "total_magnetization_mub_per_fu": 0.0, "lattice": [[4.797, -0.001, -0.007], [-0.024, 5.880, 0.005], [-0.175, -0.021, 9.958]], "species": ["O", "O", "O", "O", "O", "O", "O", "O", "O", "O", "O", "O", "O", "O", "O", "O", "P", "P", "P", "P", "Li", "Fe", "Fe", "Fe", "Fe"], "frac_coords": [[0.716, 0.451, 0.174], [0.226, 0.547, 0.328], [0.230, 0.956, 0.329], [0.770, 0.044, 0.671], [0.843, 0.249, 0.447], [0.664, 0.247, 0.948], [0.771, 0.753, 0.380], [0.336, 0.753, 0.052], [0.737, 0.041, 0.164], [0.284, 0.549, 0.826], [0.738, 0.765, 0.888], [0.774, 0.453, 0.671], [0.263, 0.959, 0.836], [0.229, 0.247, 0.620], [0.157, 0.751, 0.553], [0.262, 0.235, 0.112], [0.914, 0.248, 0.597], [0.422, 0.752, 0.904], [0.086, 0.752, 0.403], [0.578, 0.248, 0.096], [0.000, 0.000, 0.000], [0.473, 0.253, 0.772], [0.968, 0.748, 0.720], [0.032, 0.253, 0.280], [0.527, 0.747, 0.228]]}


# 6
{"formula": "LiFeP2O7", "functional": "PBEsol", "state": "relaxed", "energy_ev_per_atom": -7.402, "formation_energy_uncorrected_kcal_per_mol_atoms": -46.46, "spacegroup": "No. 14", "relative_energy_ev_per_fu": 0.250, "total_magnetization_mub_per_fu": 5.0, "lattice": [[-5.127, -1.335, 4.060], [-3.328, -4.634, -5.726], [6.423, -6.528, 1.551]], "species": ["O", "O", "O", "O", "O", "O", "O", "O", "O", "O", "O", "O", "O", "O", "O", "O", "O", "O", "O", "O", "O", "O", "O", "O", "O", "O", "O", "O", "P", "P", "P", "P", "P", "P", "P", "P", "Li", "Li", "Li", "Li", "Fe", "Fe", "Fe", "Fe"], "frac_coords": [[0.848, 0.565, 0.657], [0.228, 0.894, 0.221], [0.485, 0.763, 0.111], [0.152, 0.065, 0.843], [0.772, 0.106, 0.779], [0.079, 0.412, 0.878], [0.528, 0.579, 0.368], [0.079, 0.088, 0.378], [0.772, 0.394, 0.279], [0.921, 0.588, 0.122], [0.932, 0.827, 0.892], [0.472, 0.079, 0.132], [0.152, 0.435, 0.343], [0.068, 0.173, 0.108], [0.515, 0.263, 0.389], [0.608, 0.586, 0.868], [0.485, 0.737, 0.611], [0.848, 0.935, 0.157], [0.921, 0.912, 0.622], [0.932, 0.673, 0.392], [0.528, 0.921, 0.868], [0.068, 0.327, 0.608], [0.228, 0.606, 0.721], [0.392, 0.414, 0.132], [0.515, 0.237, 0.889], [0.608, 0.914, 0.368], [0.472, 0.421, 0.632], [0.392, 0.086, 0.632], [0.049, 0.033, 0.213], [0.951, 0.967, 0.787], [0.463, 0.913, 0.206], [0.049, 0.467, 0.713], [0.951, 0.533, 0.287], [0.537, 0.413, 0.294], [0.463, 0.587, 0.706], [0.537, 0.087, 0.794], [0.791, 0.392, 0.950], [0.209, 0.608, 0.050], [0.791, 0.108, 0.450], [0.209, 0.892, 0.550], [0.281, 0.225, 0.997], [0.719, 0.775, 0.003], [0.719, 0.725, 0.503], [0.281, 0.275, 0.497]]}


# 7
{"formula": "LiFeP2O7", "functional": "PBEsol", "state": "relaxed", "energy_ev_per_atom": -7.425, "formation_energy_uncorrected_kcal_per_mol_atoms": -46.99, "spacegroup": "No. 5", "relative_energy_ev_per_fu": 0.000, "total_magnetization_mub_per_fu": 5.0, "lattice": [[-3.869, 1.192, 2.007], [-0.794, -5.134, -0.211], [3.169, 0.482, 4.093]], "species": ["P", "P", "O", "O", "O", "O", "O", "O", "O", "Fe", "Li"], "frac_coords": [[0.410, 0.750, 0.670], [0.590, 0.330, 0.250], [0.287, 0.181, 0.069], [0.748, 0.535, 0.122], [0.500, 0.475, 0.525], [0.802, 0.153, 0.349], [0.713, 0.931, 0.819], [0.198, 0.651, 0.847], [0.252, 0.878, 0.465], [0.000, 0.873, 0.127], [0.000, 0.249, 0.751]]}


# 8
{"formula": "Li2FeP2O7", "functional": "PBEsol", "state": "relaxed", "dos_at_fermi_per_ev_fu": 4.632, "energy_ev_per_atom": -7.164, "formation_energy_uncorrected_kcal_per_mol_atoms": -47.55, "spacegroup": "No. 14", "relative_energy_ev_per_fu": 0.140, "total_magnetization_mub_per_fu": 4.0, "lattice": [[5.043, -0.013, 0.000], [-0.353, 7.853, 0.000], [0.000, 0.000, 13.336]], "species": ["Li", "Li", "Li", "Li", "Li", "Li", "Li", "Li", "O", "O", "O", "O", "O", "O", "O", "O", "O", "O", "O", "O", "O", "O", "O", "O", "O", "O", "O", "O", "O", "O", "O", "O", "O", "O", "O", "O", "Fe", "Fe", "Fe", "Fe", "P", "P", "P", "P", "P", "P", "P", "P"], "frac_coords": [[0.169, 0.135, 0.894], [0.331, 0.365, 0.394], [0.669, 0.635, 0.606], [0.250, 0.830, 0.697], [0.750, 0.170, 0.303], [0.750, 0.330, 0.803], [0.831, 0.865, 0.106], [0.250, 0.670, 0.197], [0.184, 0.787, 0.076], [0.316, 0.713, 0.576], [0.054, 0.841, 0.271], [0.033, 0.456, 0.206], [0.728, 0.424, 0.058], [0.946, 0.159, 0.729], [0.272, 0.576, 0.942], [0.642, 0.376, 0.607], [0.102, 0.323, 0.534], [0.858, 0.124, 0.107], [0.898, 0.677, 0.466], [0.684, 0.287, 0.424], [0.358, 0.624, 0.393], [0.533, 0.956, 0.294], [0.602, 0.823, 0.966], [0.446, 0.659, 0.771], [0.150, 0.153, 0.312], [0.350, 0.347, 0.812], [0.467, 0.044, 0.706], [0.772, 0.076, 0.558], [0.554, 0.341, 0.229], [0.228, 0.924, 0.442], [0.650, 0.653, 0.188], [0.816, 0.213, 0.924], [0.850, 0.847, 0.688], [0.142, 0.876, 0.893], [0.967, 0.544, 0.794], [0.398, 0.177, 0.034], [0.709, 0.737, 0.339], [0.209, 0.237, 0.161], [0.291, 0.263, 0.661], [0.791, 0.763, 0.839], [0.699, 0.222, 0.027], [0.259, 0.529, 0.824], [0.301, 0.778, 0.973], [0.759, 0.029, 0.676], [0.199, 0.722, 0.473], [0.801, 0.278, 0.527], [0.741, 0.471, 0.176], [0.241, 0.971, 0.324]]}


# 9
{"formula": "LiFe2P2O8", "functional": "PBEsol", "state": "relaxed", "dos_at_fermi_per_ev_fu": 7.396, "energy_ev_per_atom": -7.504, "formation_energy_uncorrected_kcal_per_mol_atoms": -42.71, "spacegroup": "No. 5", "relative_energy_ev_per_fu": 0.127, "total_magnetization_mub_per_fu": 9.0, "lattice": [[5.086, -0.023, 0.028], [-0.569, 5.054, 0.028], [-0.090, -0.101, 6.748]], "species": ["P", "P", "O", "O", "O", "O", "O", "O", "O", "O", "Fe", "Fe", "Li"], "frac_coords": [[0.988, 0.486, 0.748], [0.514, 0.012, 0.252], [0.914, 0.188, 0.779], [0.812, 0.086, 0.221], [0.442, 0.706, 0.258], [0.294, 0.558, 0.742], [0.426, 0.139, 0.444], [0.368, 0.118, 0.069], [0.882, 0.632, 0.931], [0.861, 0.574, 0.556], [0.491, 0.509, 0.500], [0.007, 0.993, 0.000], [0.500, 0.500, 0.000]]}


# 10
{"formula": "LiFe2P2O8", "functional": "PBEsol", "state": "relaxed", "dos_at_fermi_per_ev_fu": 7.331, "energy_ev_per_atom": -7.514, "formation_energy_uncorrected_kcal_per_mol_atoms": -42.94, "spacegroup": "No. 29", "relative_energy_ev_per_fu": 0.000, "total_magnetization_mub_per_fu": 9.0, "lattice": [[5.129, 0.000, 0.000], [0.000, 10.098, 0.000], [0.000, 0.000, 13.196]], "species": ["O", "O", "O", "O", "O", "O", "O", "O", "O", "O", "O", "O", "O", "O", "O", "O", "O", "O", "O", "O", "O", "O", "O", "O", "O", "O", "O", "O", "O", "O", "O", "O", "Fe", "Fe", "Fe", "Fe", "Fe", "Fe", "Fe", "Fe", "Li", "Li", "Li", "Li", "P", "P", "P", "P", "P", "P", "P", "P"], "frac_coords": [[0.688, 0.751, 0.370], [0.553, 0.978, 0.035], [0.002, 0.444, 0.884], [0.447, 0.022, 0.535], [0.890, 0.986, 0.610], [0.892, 0.252, 0.768], [0.688, 0.749, 0.870], [0.462, 0.191, 0.129], [0.892, 0.248, 0.268], [0.890, 0.514, 0.110], [0.511, 0.475, 0.227], [0.873, 0.273, 0.459], [0.108, 0.748, 0.268], [0.998, 0.944, 0.884], [0.002, 0.056, 0.384], [0.108, 0.752, 0.768], [0.538, 0.809, 0.629], [0.538, 0.691, 0.129], [0.511, 0.025, 0.727], [0.462, 0.309, 0.629], [0.127, 0.727, 0.959], [0.110, 0.486, 0.610], [0.127, 0.773, 0.459], [0.489, 0.975, 0.227], [0.873, 0.227, 0.959], [0.312, 0.249, 0.870], [0.447, 0.478, 0.035], [0.998, 0.556, 0.384], [0.110, 0.014, 0.110], [0.489, 0.525, 0.727], [0.553, 0.522, 0.535], [0.312, 0.251, 0.370], [0.468, 0.790, 0.253], [0.468, 0.710, 0.753], [0.107, 0.543, 0.998], [0.893, 0.043, 0.998], [0.532, 0.290, 0.253], [0.893, 0.457, 0.498], [0.532, 0.210, 0.753], [0.107, 0.957, 0.498], [0.480, 0.708, 0.498], [0.520, 0.208, 0.498], [0.480, 0.792, 0.998], [0.520, 0.292, 0.998], [0.020, 0.206, 0.368], [0.980, 0.706, 0.368], [0.020, 0.294, 0.868], [0.598, 0.961, 0.627], [0.980, 0.794, 0.868], [0.402, 0.461, 0.627], [0.598, 0.539, 0.127], [0.402, 0.039, 0.127]]}